Entry 1:
{"formula": "Tl2PdPtBr6", "functional": "GGA-PBE", "state": "relaxed", "cell": [[3.6801, 2.1247, 12.6315], [-3.6801, 2.1247, 12.6315], [0.0000, -4.2495, 12.6315]], "species": ["Tl", "Tl", "Tl", "Tl", "Pd", "Pd", "Pt", "Pt", "Br", "Br", "Br", "Br", "Br", "Br", "Br", "Br", "Br", "Br", "Br", "Br"], "fractional_positions": [[0.1147, 0.1147, 0.1147], [0.3047, 0.3047, 0.3047], [0.6953, 0.6953, 0.6953], [0.8853, 0.8853, 0.8853], [0.4154, 0.4154, 0.4154], [0.5846, 0.5846, 0.5846], [0.0000, 0.0000, 0.0000], [0.5000, 0.5000, 0.5000], [0.1306, 0.6257, 0.6257], [0.2062, 0.2062, 0.7100], [0.2062, 0.7100, 0.2062], [0.2900, 0.7938, 0.7938], [0.3743, 0.3743, 0.8694], [0.3743, 0.8694, 0.3743], [0.6257, 0.1306, 0.6257], [0.6257, 0.6257, 0.1306], [0.7100, 0.2062, 0.2062], [0.7938, 0.2900, 0.7938], [0.7938, 0.7938, 0.2900], [0.8694, 0.3743, 0.3743]], "dos_at_fermi_per_ev_cell": 9.7, "space_group": "R-3m, No. 166", "magnetic_moment_mub_per_cell": 0.0, "dft_energy_ev_per_atom": -3.033, "e_form_raw_ev_per_atom": -0.43}

Entry 2:
{"formula": "TlPdPtBr6", "functional": "GGA-PBE", "state": "relaxed", "cell": [[6.9220, 0.0000, 0.0000], [-3.4610, 5.9946, 0.0000], [0.0000, 0.0000, 7.0602]], "species": ["Tl", "Pd", "Pt", "Br", "Br", "Br", "Br", "Br", "Br"], "fractional_positions": [[0.0000, 0.0000, 0.0000], [0.6667, 0.3333, 0.5000], [0.3333, 0.6667, 0.5000], [0.0164, 0.3764, 0.7040], [0.0164, 0.6399, 0.2960], [0.3601, 0.3764, 0.2960], [0.3601, 0.9836, 0.7040], [0.6236, 0.6399, 0.7040], [0.6236, 0.9836, 0.2960]], "dos_at_fermi_per_ev_cell": 5.6, "space_group": "P312, No. 149", "magnetic_moment_mub_per_cell": 1.0, "dft_energy_ev_per_atom": -2.937, "e_form_raw_ev_per_atom": -0.31}

Entry 3:
{"formula": "ZnPdPtBr2", "functional": "GGA-PBE", "state": "relaxed", "cell": [[5.1534, 0.0000, 0.0000], [0.0000, 5.1534, 0.0000], [0.0000, 0.0000, 4.8601]], "species": ["Zn", "Pd", "Pt", "Br", "Br"], "fractional_positions": [[0.0000, 0.0000, 0.0000], [0.5000, 0.5000, 0.0000], [0.0000, 0.0000, 0.5000], [0.0000, 0.5000, 0.5000], [0.5000, 0.0000, 0.5000]], "dos_at_fermi_per_ev_cell": 5.4, "space_group": "P4/mmm, No. 123", "magnetic_moment_mub_per_cell": 0.1, "dft_energy_ev_per_atom": -2.754, "e_form_raw_ev_per_atom": 0.42}

Entry 4:
{"formula": "PuPdBr6", "functional": "GGA-PBE", "state": "relaxed", "cell": [[3.4125, 1.9702, 6.2184], [-3.4125, 1.9702, 6.2184], [0.0000, -3.9404, 6.2184]], "species": ["Pu", "Pd", "Br", "Br", "Br", "Br", "Br", "Br"], "fractional_positions": [[0.0000, 0.0000, 0.0000], [0.5000, 0.5000, 0.5000], [0.1064, 0.4115, 0.7400], [0.2600, 0.8936, 0.5885], [0.4115, 0.7400, 0.1064], [0.5885, 0.2600, 0.8936], [0.7400, 0.1064, 0.4115], [0.8936, 0.5885, 0.2600]], "dos_at_fermi_per_ev_cell": 12.0, "space_group": "R-3, No. 148", "magnetic_moment_mub_per_cell": 5.7, "de_polymorph_mev_per_atom": 66, "dft_energy_ev_per_atom": -4.510, "e_form_raw_ev_per_atom": -0.82}